#i
Entry from Alexandria via LeMat-Bulk: Al2CdCl at its PBEsol-relaxed geometry (SCAN).

abc: 2.992 5.009 5.204
angles: 90.00 90.00 90.00
Space group Pmmm (No. 47)
Symmetry-distinct sites (fractional):
Al1 0.000 0.000 0.000 (multiplicity 1)
Al2 0.500 0.000 0.500 (multiplicity 1)
Cd1 0.000 0.500 0.500 (multiplicity 1)
Cl1 0.500 0.500 0.000 (multiplicity 1)

Spin magnetization in μB/atom: 0.000
V in Å³/f.u.: 78.01
Calculated density in Mg/m³: 4.3
Crystal system: orthorhombic

#ii
Entry from Alexandria via LeMat-Bulk: Al2CdCl at its PBEsol-relaxed geometry (SCAN).

abc: 4.135 4.135 9.887
angles: 90.00 90.00 90.00
Space group I-4m2 (No. 119)
Symmetry-distinct sites (fractional):
Al1 0.000 0.000 0.000 (multiplicity 2)
Al2 0.000 0.500 0.250 (multiplicity 2)
Cd1 0.000 0.000 0.500 (multiplicity 2)
Cl1 0.000 0.500 0.750 (multiplicity 2)

Spin magnetization in μB/atom: 0.000
V in Å³/f.u.: 84.52
Calculated density in Mg/m³: 4.0
Crystal system: tetragonal

#iii
Entry from Alexandria via LeMat-Bulk: Al2CdCl at its PBEsol-relaxed geometry (SCAN).

abc: 5.194 5.194 2.931
angles: 90.00 90.00 90.00
Space group P4/mmm (No. 123)
Symmetry-distinct sites (fractional):
Al1 0.000 0.500 0.000 (multiplicity 2)
Cd1 0.000 0.000 0.500 (multiplicity 1)
Cl1 0.500 0.500 0.500 (multiplicity 1)

Spin magnetization in μB/atom: 0.000
V in Å³/f.u.: 79.08
Calculated density in Mg/m³: 4.2
Crystal system: tetragonal

Short version: #i is the most stable of them.

#i
Entry from Alexandria via LeMat-Bulk: AlCd2Cl at its PBEsol-relaxed geometry (SCAN).

abc: 2.973 4.569 12.818
angles: 90.00 90.00 90.00
Space group Immm (No. 71)
Symmetry-distinct sites (fractional):
Al1 0.000 0.000 0.000 (multiplicity 2)
Cd1 0.000 0.500 0.305 (multiplicity 4)
Cl1 0.000 0.000 0.500 (multiplicity 2)

Spin magnetization in μB/atom: 0.000
V in Å³/f.u.: 87.05
Calculated density in Mg/m³: 5.5
Crystal system: orthorhombic

#ii
Entry from Alexandria via LeMat-Bulk: AlCd2Cl at its PBEsol-relaxed geometry (SCAN).

abc: 4.440 4.826 7.670
angles: 90.00 90.00 90.00
Space group Cmmm (No. 65)
Symmetry-distinct sites (fractional):
Al1 0.000 0.000 0.000 (multiplicity 2)
Cd1 0.000 0.500 0.235 (multiplicity 4)
Cl1 0.000 0.000 0.500 (multiplicity 2)

Spin magnetization in μB/atom: 0.000
V in Å³/f.u.: 82.17
Calculated density in Mg/m³: 5.8
Crystal system: orthorhombic

#iii
Entry from Alexandria via LeMat-Bulk: AlCd2Cl at its PBEsol-relaxed geometry (SCAN).

abc: 7.113 7.113 7.113
angles: 90.00 90.00 90.00
Space group Fm-3m (No. 225)
Symmetry-distinct sites (fractional):
Al1 0.000 0.000 0.000 (multiplicity 4)
Cd1 0.250 0.250 0.250 (multiplicity 8)
Cl1 0.000 0.000 0.500 (multiplicity 4)

Spin magnetization in μB/atom: 0.000
V in Å³/f.u.: 89.95
Calculated density in Mg/m³: 5.3
Crystal system: cubic

Short version: #ii is the most stable of them.

#i
Entry from Alexandria via LeMat-Bulk: AlCdCo2 at its PBEsol-relaxed geometry (SCAN).

abc: 5.966 5.966 5.966
angles: 90.00 90.00 90.00
Space group F-43m (No. 216)
Symmetry-distinct sites (fractional):
Al1 0.000 0.000 0.000 (multiplicity 4)
Cd1 0.250 0.250 0.250 (multiplicity 4)
Co1 0.000 0.000 0.500 (multiplicity 4)
Co2 0.250 0.250 0.750 (multiplicity 4)

Spin magnetization in μB/atom: 0.821
V in Å³/f.u.: 53.09
Calculated density in Mg/m³: 8.0
Crystal system: cubic

#ii
Entry from Alexandria via LeMat-Bulk: AlCdCo2 at its PBEsol-relaxed geometry (SCAN).

abc: 9.291 2.804 4.347
angles: 90.00 109.96 90.00
Space group Cm (No. 8)
Symmetry-distinct sites (fractional):
Al1 0.000 0.000 0.000 (multiplicity 2)
Cd1 0.222 0.000 0.667 (multiplicity 2)
Co1 0.243 0.500 0.182 (multiplicity 2)
Co2 0.461 0.000 0.457 (multiplicity 2)

Spin magnetization in μB/atom: 0.715
V in Å³/f.u.: 53.21
Calculated density in Mg/m³: 8.0
Crystal system: monoclinic

#iii
Entry from Alexandria via LeMat-Bulk: AlCdCo2 at its PBEsol-relaxed geometry (SCAN).

abc: 2.7377 2.7377 24.6258
angles: 90.00 90.00 120.00
Space group R-3m (No. 166, hexagonal axes)
Symmetry-distinct sites (fractional):
Al1 0.0000 0.0000 0.0000 (multiplicity 3)
Cd1 0.0000 0.0000 0.5000 (multiplicity 3)
Co1 0.0000 0.0000 0.2572 (multiplicity 6)

Spin magnetization in μB/atom: 0.747
V in Å³/f.u.: 53.28
Calculated density in Mg/m³: 8.0
Crystal system: trigonal

Short version: #ii is the most stable of them.

#i
Entry from Alexandria via LeMat-Bulk: Al2CdP at its PBEsol-relaxed geometry (SCAN).

abc: 3.777 4.228 4.407
angles: 90.00 90.00 90.00
Space group Pmmm (No. 47)
Symmetry-distinct sites (fractional):
Al1 0.000 0.000 0.000 (multiplicity 1)
Al2 0.500 0.000 0.500 (multiplicity 1)
Cd1 0.000 0.500 0.500 (multiplicity 1)
P1 0.500 0.500 0.000 (multiplicity 1)

Spin magnetization in μB/atom: 0.001
V in Å³/f.u.: 70.38
Calculated density in Mg/m³: 4.7
Crystal system: orthorhombic

#ii
Entry from Alexandria via LeMat-Bulk: Al2CdP at its PBEsol-relaxed geometry (SCAN).

abc: 3.366 3.410 13.044
angles: 90.00 90.00 90.00
Space group Imm2 (No. 44)
Symmetry-distinct sites (fractional):
Al1 0.000 0.000 0.000 (multiplicity 2)
Al2 0.000 0.500 0.192 (multiplicity 2)
Cd1 0.000 0.500 0.822 (multiplicity 2)
P1 0.000 0.000 0.553 (multiplicity 2)

Spin magnetization in μB/atom: 0.000
V in Å³/f.u.: 74.87
Calculated density in Mg/m³: 4.4
Crystal system: orthorhombic

#iii
Entry from Alexandria via LeMat-Bulk: Al2CdP at its PBEsol-relaxed geometry (SCAN).

abc: 3.119 3.119 7.105
angles: 90.00 90.00 90.00
Space group P4/mmm (No. 123)
Symmetry-distinct sites (fractional):
Al1 0.000 0.000 0.198 (multiplicity 2)
Cd1 0.500 0.500 0.500 (multiplicity 1)
P1 0.500 0.500 0.000 (multiplicity 1)

Spin magnetization in μB/atom: 0.000
V in Å³/f.u.: 69.10
Calculated density in Mg/m³: 4.7
Crystal system: tetragonal

Short version: #ii is the most stable of them.

#i
Entry from Alexandria via LeMat-Bulk: AlCdP2 at its PBEsol-relaxed geometry (SCAN).

abc: 3.0060 3.0060 27.6332
angles: 90.00 90.00 120.00
Space group R3m (No. 160, hexagonal axes)
Symmetry-distinct sites (fractional):
Al1 0.0000 0.0000 0.0000 (multiplicity 3)
Cd1 0.0000 0.0000 0.7508 (multiplicity 3)
P1 0.0000 0.0000 0.2703 (multiplicity 3)
P2 0.0000 0.0000 0.4956 (multiplicity 3)

Spin magnetization in μB/atom: 0.000
V in Å³/f.u.: 72.08
Calculated density in Mg/m³: 4.6
Crystal system: trigonal

#ii
Entry from Alexandria via LeMat-Bulk: AlCdP2 at its PBEsol-relaxed geometry (SCAN).

abc: 4.885 4.916 6.416
angles: 90.00 90.00 90.00
Space group Amm2 (No. 38)
Symmetry-distinct sites (fractional):
Al1 0.000 0.000 0.000 (multiplicity 2)
Cd1 0.500 0.000 0.534 (multiplicity 2)
P1 0.000 0.000 0.375 (multiplicity 2)
P2 0.500 0.000 0.924 (multiplicity 2)

Spin magnetization in μB/atom: 0.000
V in Å³/f.u.: 77.05
Calculated density in Mg/m³: 4.3
Crystal system: orthorhombic

Short version: #ii is the most stable of them.

#i
Entry from Alexandria via LeMat-Bulk: AlCdP2 at its PBEsol-relaxed geometry (SCAN).

abc: 3.605 3.721 5.250
angles: 90.00 90.00 90.00
Space group Pmmm (No. 47)
Symmetry-distinct sites (fractional):
Al1 0.000 0.000 0.000 (multiplicity 1)
Cd1 0.000 0.500 0.500 (multiplicity 1)
P1 0.500 0.000 0.500 (multiplicity 1)
P2 0.500 0.500 0.000 (multiplicity 1)

Spin magnetization in μB/atom: 0.000
V in Å³/f.u.: 70.42
Calculated density in Mg/m³: 4.7
Crystal system: orthorhombic

#ii
Entry from Alexandria via LeMat-Bulk: AlCdP2 at its PBEsol-relaxed geometry (SCAN).

abc: 4.894 4.894 2.802
angles: 90.00 90.00 90.00
Space group P4/mmm (No. 123)
Symmetry-distinct sites (fractional):
Al1 0.000 0.000 0.000 (multiplicity 1)
Cd1 0.500 0.500 0.000 (multiplicity 1)
P1 0.000 0.500 0.500 (multiplicity 2)

Spin magnetization in μB/atom: 0.000
V in Å³/f.u.: 67.10
Calculated density in Mg/m³: 5.0
Crystal system: tetragonal

Short version: #ii is the most stable of them.